[1]
A relaxed structure of Na2Zr2MnS6. Source: the Alexandria database, functional PBE.

Calculated values
**Symmetry**: C2/m, No. 12
**VASP energy**: -6.19 eV per atom

Cell: 6.462 6.462 7.108 Å, 98.51 98.51 120.49°
Fractional positions:
Na 0.165 0.835 0.000
Na 0.835 0.165 0.000
Zr 0.334 0.666 0.500
Zr 0.666 0.334 0.500
Mn 0.000 0.000 0.500
S 0.069 0.408 0.714
S 0.261 0.261 0.289
S 0.408 0.069 0.714
S 0.592 0.931 0.286
S 0.739 0.739 0.711
S 0.931 0.592 0.286


[2]
A relaxed structure of Si3Hg. Source: the Alexandria database, functional PBE.

Calculated values
**Symmetry**: C2/m, No. 12
**Energy above the most stable polymorph in this dataset**: 0.72 eV/f.u.
**VASP energy**: -3.56 eV per atom

Cell: 5.538 5.538 5.523 Å, 111.09 111.09 29.15°
Fractional positions:
Si 0.000 0.000 0.000
Si 0.286 0.286 0.839
Si 0.714 0.714 0.161
Hg 0.500 0.500 0.500


[3]
A relaxed structure of BeTlCd2. Source: the Alexandria database, functional PBE.

Calculated values
**Symmetry**: P4/mmm, No. 123
**Energy above the most stable polymorph in this dataset**: 0.75 eV/f.u.
**VASP energy**: -1.50 eV per atom

Cell: 4.241 4.241 4.739 Å, 90.00 90.00 90.00°
Fractional positions:
Be 0.000 0.000 0.000
Tl 0.500 0.500 0.000
Cd 0.000 0.500 0.500
Cd 0.500 0.000 0.500


[4]
A relaxed structure of Ce4Sb3P. Source: the Alexandria database, functional PBE.

Calculated values
**Symmetry**: R-3m, No. 166
**VASP energy**: -6.32 eV per atom

Cell: 14.753 14.753 14.753 Å, 17.01 17.01 17.01°
Fractional positions:
Ce 0.123 0.123 0.123
Ce 0.369 0.369 0.369
Ce 0.631 0.631 0.631
Ce 0.877 0.877 0.877
Sb 0.254 0.254 0.254
Sb 0.500 0.500 0.500
Sb 0.746 0.746 0.746
P 0.000 0.000 0.000


[5]
A relaxed structure of Tb2Re2C3. Source: the Alexandria database, functional PBE.

Calculated values
**Symmetry**: C2/m, No. 12
**VASP energy**: -9.15 eV per atom

Cell: 6.153 6.153 5.707 Å, 113.39 113.39 31.14°
Fractional positions:
Tb 0.109 0.109 0.315
Tb 0.891 0.891 0.685
Re 0.344 0.344 0.179
Re 0.656 0.656 0.821
C 0.252 0.252 0.769
C 0.500 0.500 0.500
C 0.748 0.748 0.231


[6]
A relaxed structure of K4HS. Source: the Alexandria database, functional PBE.

Calculated values
**Symmetry**: P4/mmm, No. 123
**VASP energy**: -2.41 eV per atom

Cell: 5.233 5.233 7.516 Å, 90.00 90.00 90.00°
Fractional positions:
K 0.000 0.500 0.247
K 0.000 0.500 0.753
K 0.500 0.000 0.247
K 0.500 0.000 0.753
H 0.000 0.000 0.000
S 0.500 0.500 0.500


[7]
A relaxed structure of Ce3RhAu. Source: the Alexandria database, functional PBE.

Calculated values
**Symmetry**: P-1, No. 2
**Energy above the most stable polymorph in this dataset**: 0.02 eV/f.u.
**VASP energy**: -6.18 eV per atom

Cell: 5.341 6.374 8.869 Å, 110.90 90.18 114.58°
Fractional positions:
Ce 0.123 0.243 0.426
Ce 0.354 0.709 0.865
Ce 0.365 0.729 0.204
Ce 0.635 0.271 0.796
Ce 0.646 0.291 0.135
Ce 0.877 0.757 0.574
Rh 0.389 0.783 0.548
Rh 0.611 0.217 0.452
Au 0.089 0.178 0.927
Au 0.911 0.822 0.073


[8]
A relaxed structure of Li3Mg2Sn2. Source: the Alexandria database, functional PBE.

Calculated values
**Symmetry**: C2/m, No. 12
**Energy above the most stable polymorph in this dataset**: 0.00 eV/f.u.
**VASP energy**: -2.71 eV per atom

Cell: 4.805 4.805 8.227 Å, 106.57 106.57 59.93°
Fractional positions:
Li 0.000 0.000 0.000
Li 0.126 0.126 0.385
Li 0.874 0.874 0.615
Mg 0.382 0.382 0.145
Mg 0.618 0.618 0.855
Sn 0.252 0.252 0.752
Sn 0.748 0.748 0.248